(1)
! CaCr2In | the Alexandria database | GGA-PBE | relaxed; values from VASP
&SYSTEM
  ibrav = 0, nat = 4, ntyp = 3
/
ATOMIC_SPECIES
Ca 40.08 Ca.upf
Cr 52.00 Cr.upf
In 114.82 In.upf
ATOMIC_POSITIONS angstrom
Ca 0.000 0.000 0.000
Cr 0.000 2.263 2.055
Cr 2.263 0.000 2.055
In 2.263 2.263 0.000
CELL_PARAMETERS angstrom
4.525 0.000 0.000
0.000 4.525 0.000
0.000 0.000 4.110
! DOS(E_F): 2.67 states/eV/cell
! DFT total energy: -5.497 eV/atom
! space group: No. 123
! calculated volume: 21.04 Å³ per atom

***

(2)
! ErHfPSe | the Alexandria database | GGA-PBE | relaxed; values from VASP
&SYSTEM
  ibrav = 0, nat = 4, ntyp = 4
/
ATOMIC_SPECIES
Er 167.26 Er.upf
Hf 178.49 Hf.upf
P 30.97 P.upf
Se 78.96 Se.upf
ATOMIC_POSITIONS angstrom
Er 0.000 0.000 0.000
Hf 0.000 0.000 16.365
P 0.000 0.000 8.307
Se 0.000 0.000 4.704
CELL_PARAMETERS angstrom
1.891 1.092 6.722
-1.891 1.092 6.722
0.000 -2.183 6.722
! DOS(E_F): 1.13 states/eV/cell
! ΔE_f (raw): -1.450 eV/atom
! space group: No. 160
! calculated volume: 20.81 Å³ per atom

***

(3)
! ScFeBi | the Alexandria database | GGA-PBE | relaxed; values from VASP
&SYSTEM
  ibrav = 0, nat = 6, ntyp = 3
/
ATOMIC_SPECIES
Sc 44.96 Sc.upf
Fe 55.84 Fe.upf
Bi 208.98 Bi.upf
ATOMIC_POSITIONS angstrom
Sc 0.000 0.000 1.955
Sc 0.000 0.000 36.866
Fe 0.000 0.000 13.111
Fe 0.000 0.000 25.709
Bi 0.000 0.000 8.433
Bi 0.000 0.000 30.388
CELL_PARAMETERS angstrom
1.787 1.031 12.940
-1.787 1.031 12.940
0.000 -2.063 12.940
! DOS(E_F): 4.05 states/eV/cell
! DFT total energy: -6.363 eV/atom
! space group: No. 166
! calculated volume: 23.85 Å³ per atom

***

(4)
! La5Ho2Tm5 | the Alexandria database | GGA-PBE | relaxed; values from VASP
&SYSTEM
  ibrav = 0, nat = 12, ntyp = 3
/
ATOMIC_SPECIES
La 138.91 La.upf
Ho 164.93 Ho.upf
Tm 168.93 Tm.upf
ATOMIC_POSITIONS angstrom
La 0.000 0.000 0.000
La -2.608 0.000 7.609
La 2.522 0.000 2.563
La 7.723 0.000 7.607
La 12.853 0.000 2.561
Ho 0.003 0.000 5.073
Ho 10.241 0.000 5.097
Tm -0.021 0.000 10.170
Tm 2.552 0.000 7.583
Tm 5.122 0.000 5.085
Tm 7.692 0.000 2.587
Tm 10.266 0.000 0.000
CELL_PARAMETERS angstrom
7.689 -2.538 0.000
7.689 2.538 0.000
-5.135 0.000 10.170
! DOS(E_F): 18.50 states/eV/cell
! DFT total energy: -4.645 eV/atom
! space group: No. 12
! calculated volume: 33.07 Å³ per atom

***

(5)
! K3LaTh2Se6 | the Alexandria database | GGA-PBE | relaxed; values from VASP
&SYSTEM
  ibrav = 0, nat = 12, ntyp = 4
/
ATOMIC_SPECIES
K 39.10 K.upf
La 138.91 La.upf
Th 232.04 Th.upf
Se 78.96 Se.upf
ATOMIC_POSITIONS angstrom
K 0.000 0.000 0.000
K 3.730 2.127 0.000
K 3.730 -2.127 0.000
La 2.486 0.000 3.898
Th 2.486 4.305 3.898
Th 2.486 -4.305 3.898
Se 1.207 2.213 2.211
Se -0.070 0.000 5.583
Se 1.207 -2.213 2.211
Se 3.764 2.213 5.585
Se 5.042 0.000 2.213
Se 3.764 -2.213 5.585
CELL_PARAMETERS angstrom
3.730 -6.460 0.000
3.730 6.460 0.000
-2.488 0.000 7.795
! DOS(E_F): 7.80 states/eV/cell
! ΔE_f (raw): -1.631 eV/atom
! space group: No. 12
! calculated volume: 31.30 Å³ per atom

***

(6)
! HfBe2Ni2 | the Alexandria database | GGA-PBE | relaxed; values from VASP
&SYSTEM
  ibrav = 0, nat = 10, ntyp = 3
/
ATOMIC_SPECIES
Hf 178.49 Hf.upf
Be 9.01 Be.upf
Ni 58.69 Ni.upf
ATOMIC_POSITIONS angstrom
Hf 0.000 0.000 2.258
Hf 0.000 0.000 15.684
Be 1.819 0.000 4.485
Be 0.000 0.000 7.793
Be 0.000 0.000 10.149
Be 0.000 1.819 4.485
Ni 1.819 0.000 0.000
Ni 0.000 0.000 5.669
Ni 0.000 1.819 0.000
Ni 0.000 0.000 12.273
CELL_PARAMETERS angstrom
-1.819 1.819 8.971
1.819 -1.819 8.971
1.819 1.819 -8.971
! DOS(E_F): 6.15 states/eV/cell
! DFT total energy: -6.154 eV/atom
! space group: No. 139
! calculated volume: 11.87 Å³ per atom